# BaIn3Pt3 | Alexandria via LeMat-Bulk | PBE | relaxed
data_BaIn3Pt3
_chemical_formula_sum 'Ba6 In18 Pt18'
_cell_length_a 7.3234
_cell_length_b 7.3234
_cell_length_c 24.9766
_cell_angle_alpha 90.00
_cell_angle_beta 90.00
_cell_angle_gamma 120.00
_symmetry_space_group_name_H-M 'R -3'
_symmetry_Int_Tables_number 148
_symmetry_space_group_name_Hall '-R 3'
loop_
_atom_site_label
_atom_site_fract_x
_atom_site_fract_y
_atom_site_fract_z
_atom_site_occupancy
Ba1 0.0000 0.0000 0.1514 1
In1 0.0403 0.5968 0.2859 1
Pt1 0.0206 0.7896 0.7315 1
# - Formation enthalpy at 0 K: -0.51 eV per atom
# - Energy above the lowest structure with this stoichiometry: 0 meV per atom
# - Theoretical density: 9.16 Mg/m³